Y2CoPd PBE relaxed; ρ = 6.64 g cm⁻³; DFT formation energy = -0.13 eV per atom
1.0
-3.683 3.683 3.162
3.683 -3.683 3.162
3.683 3.683 -3.162
Y Co Pd
4 2 2
Direct
0.103 0.625 0.978
0.375 0.353 0.478
0.647 0.125 0.022
0.875 0.897 0.522
0.000 0.000 0.000
0.750 0.250 0.500
0.250 0.750 0.500
0.500 0.500 0.000

=====

TaZn2Ag PBE relaxed; ρ = 10.77 g cm⁻³; DFT formation energy = 0.12 eV per atom; relative energy among the computed polymorphs = 137.4 meV/atom
1.0
4.242 0.000 0.000
0.000 1.404 5.434
0.000 -1.404 5.434
Ta Zn Ag
1 2 1
Direct
0.000 0.000 0.000
0.000 0.740 0.740
0.500 0.607 0.607
0.500 0.349 0.349

=====

YTc2W PBE relaxed; ρ = 10.93 g cm⁻³; DFT formation energy = 0.30 eV per atom
1.0
-1.610 2.488 4.444
1.610 -2.488 4.444
1.610 2.488 -4.444
Y Tc W
1 2 1
Direct
0.000 0.000 0.000
0.271 0.771 0.500
0.729 0.229 0.500
0.500 0.500 0.000

=====

Mn2NbHOs PBE relaxed; ρ = 11.24 g cm⁻³; relative energy among the computed polymorphs = 0.0 meV/atom
1.0
3.754 0.000 0.000
0.000 3.754 0.000
0.000 0.000 4.129
Mn Nb H Os
2 1 1 1
Direct
0.000 0.500 0.000
0.500 0.000 0.000
0.000 0.000 0.500
0.000 0.000 0.000
0.500 0.500 0.500

=====

ZrNbAu PBE relaxed; ρ = 11.00 g cm⁻³; DFT formation energy = -0.21 eV per atom; relative energy among the computed polymorphs = 137.0 meV/atom
1.0
4.686 0.000 0.000
-2.343 4.058 0.000
0.000 0.000 6.049
Zr Nb Au
2 2 2
Direct
0.000 0.000 0.249
0.000 0.000 0.751
0.333 0.667 0.920
0.667 0.333 0.080
0.333 0.667 0.406
0.667 0.333 0.594

=====

Sr2LaCl PBE relaxed; ρ = 3.44 g cm⁻³; relative energy among the computed polymorphs = 555.9 meV/atom
1.0
-2.416 2.416 7.235
2.416 -2.416 7.235
2.416 2.416 -7.235
Sr La Cl
2 1 1
Direct
0.000 0.000 0.000
0.750 0.250 0.500
0.500 0.500 0.000
0.250 0.750 0.500

=====

NaHfRe2H PBE relaxed; ρ = 6.39 g cm⁻³; energy = -27.2 eV for the cell shown
1.0
4.843 0.000 0.000
0.000 4.843 0.000
0.000 0.000 6.370
Na Hf Re H
1 1 2 1
Direct
0.000 0.000 0.000
0.000 0.000 0.500
0.000 0.500 0.500
0.500 0.000 0.500
0.500 0.500 0.000

=====

Cd2ReW PBE relaxed; ρ = 14.14 g cm⁻³; DFT formation energy = 0.70 eV per atom; relative energy among the computed polymorphs = 337.6 meV/atom
1.0
-2.202 2.202 3.602
2.202 -2.202 3.602
2.202 2.202 -3.602
Cd Re W
2 1 1
Direct
0.000 0.000 0.000
0.750 0.250 0.500
0.250 0.750 0.500
0.500 0.500 0.000

=====

U2FeCo3 PBE relaxed; ρ = 14.21 g cm⁻³; DFT formation energy = -0.17 eV per atom
1.0
4.827 0.000 0.000
-2.413 4.180 0.000
0.000 0.000 8.210
U Fe Co
4 2 6
Direct
0.333 0.667 0.060
0.333 0.667 0.440
0.667 0.333 0.560
0.667 0.333 0.940
0.000 0.000 0.000
0.000 0.000 0.500
0.165 0.329 0.750
0.165 0.835 0.750
0.329 0.165 0.250
0.671 0.835 0.750
0.835 0.165 0.250
0.835 0.671 0.250

=====

Si6Tc2W PBE relaxed; ρ = 7.56 g cm⁻³; energy = -69.1 eV for the cell shown
1.0
2.306 -3.922 0.000
2.306 3.922 0.000
0.000 0.000 6.658
Si Tc W
6 2 1
Direct
0.164 0.331 0.663
0.165 0.835 0.000
0.331 0.164 0.337
0.669 0.836 0.337
0.835 0.165 0.000
0.836 0.669 0.663
0.000 0.500 0.317
0.500 0.000 0.683
0.500 0.500 0.000

=====

KFe5 PBE relaxed; ρ = 5.62 g cm⁻³; DFT formation energy = 0.62 eV per atom; relative energy among the computed polymorphs = 0.0 meV/atom
1.0
3.948 0.000 0.000
0.000 1.266 9.414
0.000 -1.266 9.414
K Fe
1 5
Direct
0.000 0.000 0.000
0.000 0.295 0.295
0.000 0.678 0.678
0.500 0.141 0.141
0.500 0.364 0.364
0.500 0.752 0.752

=====

BeV4Co2 PBE relaxed; ρ = 5.90 g cm⁻³; DFT formation energy = 0.61 eV per atom
1.0
-2.001 2.001 5.807
2.001 -2.001 5.807
2.001 2.001 -5.807
Be V Co
1 4 2
Direct
0.000 0.000 0.000
0.000 0.500 0.500
0.191 0.191 0.000
0.500 0.000 0.500
0.809 0.809 0.000
0.376 0.376 0.000
0.624 0.624 0.000

=====

KRb5I8 PBE relaxed; ρ = 3.61 g cm⁻³; energy = -35.0 eV for the cell shown
1.0
-5.591 5.591 5.449
5.591 -5.591 5.449
5.591 5.591 -5.449
K Rb I
1 5 8
Direct
0.000 0.000 0.000
0.102 0.253 0.599
0.250 0.750 0.500
0.497 0.898 0.151
0.654 0.503 0.401
0.747 0.346 0.849
0.054 0.648 0.771
0.249 0.438 0.078
0.352 0.124 0.406
0.361 0.171 0.922
0.562 0.639 0.810
0.718 0.946 0.594
0.829 0.751 0.190
0.876 0.282 0.229

=====

SbMoSe2 PBE relaxed; ρ = 6.97 g cm⁻³; energy = -21.7 eV for the cell shown
1.0
-1.600 2.173 6.438
1.600 -2.173 6.438
1.600 2.173 -6.438
Sb Mo Se
1 1 2
Direct
0.000 0.000 0.000
0.193 0.693 0.500
0.345 0.345 0.000
0.649 0.149 0.500

=====

PmPrTlIn PBE relaxed; ρ = 8.51 g cm⁻³; DFT formation energy = -0.45 eV per atom; relative energy among the computed polymorphs = 0.0 meV/atom
1.0
3.892 0.000 0.000
0.000 3.892 0.000
0.000 0.000 7.795
Pm Pr Tl In
1 1 1 1
Direct
0.000 0.000 0.000
0.000 0.000 0.504
0.500 0.500 0.246
0.500 0.500 0.757

=====

LiZn2Mo PBE relaxed; ρ = 6.45 g cm⁻³; DFT formation energy = 0.49 eV per atom; relative energy among the computed polymorphs = 504.3 meV/atom
1.0
-3.367 3.367 2.656
3.367 -3.367 2.656
3.367 3.367 -2.656
Li Zn Mo
2 4 2
Direct
0.000 0.000 0.000
0.750 0.250 0.500
0.100 0.625 0.975
0.375 0.350 0.475
0.650 0.125 0.025
0.875 0.900 0.525
0.250 0.750 0.500
0.500 0.500 0.000

=====

Th3FeGe PBE relaxed; ρ = 10.65 g cm⁻³; DFT formation energy = -0.38 eV per atom; relative energy among the computed polymorphs = 0.0 meV/atom
1.0
8.074 0.000 0.000
0.000 4.501 0.000
0.000 0.000 14.152
Th Fe Ge
12 4 4
Direct
0.045 0.250 0.104
0.143 0.250 0.505
0.199 0.750 0.283
0.301 0.250 0.783
0.357 0.750 0.005
0.455 0.750 0.604
0.545 0.250 0.396
0.643 0.250 0.995
0.699 0.750 0.217
0.801 0.250 0.717
0.857 0.750 0.495
0.955 0.750 0.896
0.171 0.250 0.937
0.329 0.750 0.437
0.671 0.250 0.563
0.829 0.750 0.063
0.076 0.750 0.680
0.424 0.250 0.180
0.576 0.750 0.820
0.924 0.250 0.320

=====

RbFeCl2 PBE relaxed; ρ = 2.82 g cm⁻³; relative energy among the computed polymorphs = 6.8 meV/atom
1.0
-3.195 3.195 6.123
3.195 -3.195 6.123
3.195 3.195 -6.123
Rb Fe Cl
2 2 4
Direct
0.000 0.000 0.000
0.750 0.250 0.500
0.250 0.750 0.500
0.500 0.500 0.000
0.242 0.625 0.117
0.375 0.492 0.617
0.508 0.125 0.883
0.875 0.758 0.383

=====

BeZnInNiPd PBE relaxed; ρ = 8.30 g cm⁻³; DFT formation energy = -0.22 eV per atom; relative energy among the computed polymorphs = 36.1 meV/atom
1.0
4.609 -1.636 0.000
4.609 1.636 0.000
-4.008 0.000 4.702
Be Zn In Ni Pd
1 1 1 1 1
Direct
0.000 0.000 0.000
0.781 0.781 0.311
0.167 0.167 0.566
0.403 0.403 0.126
0.534 0.534 0.771

=====

NdEr2Ir2 PBE relaxed; ρ = 11.34 g cm⁻³; DFT formation energy = -0.72 eV per atom
1.0
5.463 0.000 0.000
0.000 4.452 0.000
-1.263 0.000 10.398
Nd Er Ir
2 4 4
Direct
0.069 0.250 0.283
0.931 0.750 0.717
0.269 0.750 0.028
0.377 0.250 0.611
0.623 0.750 0.389
0.731 0.250 0.972
0.156 0.750 0.469
0.203 0.250 0.865
0.797 0.750 0.135
0.844 0.250 0.531

=====

AcCdAg2 PBE relaxed; ρ = 8.79 g cm⁻³; DFT formation energy = -0.26 eV per atom; relative energy among the computed polymorphs = 28.5 meV/atom
1.0
2.456 1.418 5.015
-2.456 1.418 5.015
0.000 -2.836 5.015
Ac Cd Ag
1 1 2
Direct
0.000 0.000 0.000
0.500 0.500 0.500
0.215 0.215 0.215
0.785 0.785 0.785

=====

La12In3O5 PBE relaxed; ρ = 6.12 g cm⁻³; energy = -490.2 eV for the cell shown
1.0
-8.279 8.279 8.279
8.279 -8.279 8.279
8.279 8.279 -8.279
La In O
48 12 20
Direct
0.009 0.196 0.107
0.009 0.313 0.903
0.090 0.696 0.687
0.090 0.893 0.403
0.097 0.607 0.410
0.097 0.991 0.687
0.107 0.009 0.196
0.107 0.597 0.910
0.187 0.196 0.590
0.187 0.491 0.597
0.196 0.107 0.009
0.196 0.590 0.187
0.304 0.313 0.910
0.304 0.491 0.393
0.313 0.903 0.009
0.313 0.910 0.304
0.393 0.304 0.491
0.393 0.590 0.903
0.403 0.090 0.893
0.403 0.813 0.509
0.410 0.097 0.607
0.410 0.813 0.804
0.491 0.393 0.304
0.491 0.597 0.187
0.509 0.403 0.813
0.509 0.607 0.696
0.590 0.187 0.196
0.590 0.903 0.393
0.597 0.187 0.491
0.597 0.910 0.107
0.607 0.410 0.097
0.607 0.696 0.509
0.687 0.090 0.696
0.687 0.097 0.991
0.696 0.509 0.607
0.696 0.687 0.090
0.804 0.410 0.813
0.804 0.893 0.991
0.813 0.509 0.403
0.813 0.804 0.410
0.893 0.403 0.090
0.893 0.991 0.804
0.903 0.009 0.313
0.903 0.393 0.590
0.910 0.107 0.597
0.910 0.304 0.313
0.991 0.687 0.097
0.991 0.804 0.893
0.125 0.250 0.375
0.125 0.375 0.750
0.250 0.375 0.125
0.250 0.875 0.625
0.375 0.125 0.250
0.375 0.750 0.125
0.625 0.250 0.875
0.625 0.875 0.750
0.750 0.125 0.375
0.750 0.625 0.875
0.875 0.625 0.250
0.875 0.750 0.625
0.000 0.000 0.000
0.000 0.000 0.500
0.000 0.500 0.000
0.000 0.500 0.500
0.125 0.750 0.875
0.125 0.875 0.250
0.250 0.125 0.875
0.250 0.625 0.375
0.375 0.250 0.625
0.375 0.625 0.750
0.500 0.000 0.000
0.500 0.000 0.500
0.500 0.500 0.000
0.500 0.500 0.500
0.625 0.375 0.250
0.625 0.750 0.375
0.750 0.375 0.625
0.750 0.875 0.125
0.875 0.125 0.750
0.875 0.250 0.125